No. 1
# ThGa4Cu2Os

A geometry-optimized ThGa4Cu2Os structure (PBE, the Alexandria database).

## Properties
The calculation puts the energy of formation from the pure elements at -0.164 eV per atom. The density comes out at 9.971 g/cm3. The total magnetization comes out at 0.00 μB/f.u.

Cell and atoms, written as CIF:
```
data_ThGa4Cu2Os
_chemical_formula_sum 'Th3 Ga12 Cu6 Os3'
_symmetry_space_group_name_H-M 'R -3 m'
_symmetry_Int_Tables_number 166
_symmetry_space_group_name_Hall '-R 3 2"'
_cell_length_a 4.2354
_cell_length_b 4.2354
_cell_length_c 26.6353
_cell_angle_alpha 90.00
_cell_angle_beta 90.00
_cell_angle_gamma 120.00
loop_
_atom_site_label
_atom_site_type_symbol
_atom_site_fract_x
_atom_site_fract_y
_atom_site_fract_z
_atom_site_occupancy
Th1 Th 0.0000 0.0000 0.0000 1
Ga1 Ga 0.0000 0.0000 0.1317 1
Ga2 Ga 0.0000 0.0000 0.4024 1
Cu1 Cu 0.0000 0.0000 0.2376 1
Os1 Os 0.0000 0.0000 0.5000 1
```

***

No. 2
# Ga2HgTeO8

A geometry-optimized Ga2HgTeO8 structure (PBE, the Alexandria database).

## Properties
The density comes out at 7.045 g/cm3. The total magnetization comes out at 0.00 μB/f.u. The uncorrected formation energy is -0.95 eV per atom.

Cell and atoms, written as CIF:
```
data_Ga2HgTeO8
_chemical_formula_sum 'Ga4 Hg2 Te2 O16'
_symmetry_space_group_name_H-M 'C 1 2/m 1'
_symmetry_Int_Tables_number 12
_symmetry_space_group_name_Hall '-C 2y'
_cell_length_a 6.7278
_cell_length_b 6.5020
_cell_length_c 6.4220
_cell_angle_alpha 90.00
_cell_angle_beta 91.69
_cell_angle_gamma 90.00
loop_
_atom_site_label
_atom_site_type_symbol
_atom_site_fract_x
_atom_site_fract_y
_atom_site_fract_z
_atom_site_occupancy
Ga1 Ga 0.0008 0.0000 0.2557 1
Hg1 Hg 0.0000 0.5000 0.0000 1
Te1 Te 0.0000 0.5000 0.5000 1
O1 O 0.0000 0.1722 0.0000 1
O2 O 0.0000 0.1966 0.5000 1
O3 O 0.1930 0.5000 0.2750 1
O4 O 0.2028 0.5000 0.7166 1
```

***

No. 3
# TcPAu2

A geometry-optimized TcPAu2 structure (PBE, the Alexandria database).

## Properties
The calculation puts the energy of formation from the pure elements at 0.468 eV per atom. The density comes out at 13.235 g/cm3. The total magnetization comes out at 0.43 μB/f.u.

Cell and atoms, written as CIF:
```
data_TcPAu2
_chemical_formula_sum 'Tc2 P2 Au4'
_symmetry_space_group_name_H-M 'C m m m'
_symmetry_Int_Tables_number 65
_symmetry_space_group_name_Hall '-C 2 2'
_cell_length_a 5.3696
_cell_length_b 8.9376
_cell_length_c 2.7342
_cell_angle_alpha 90.00
_cell_angle_beta 90.00
_cell_angle_gamma 90.00
loop_
_atom_site_label
_atom_site_type_symbol
_atom_site_fract_x
_atom_site_fract_y
_atom_site_fract_z
_atom_site_occupancy
Tc1 Tc 0.0000 0.0000 0.0000 1
P1 P 0.0000 0.5000 0.0000 1
Au1 Au 0.2500 0.2500 0.5000 1
```